*P*
VASP calculation (GGA-PBE) on a geometry-optimized Tc2SnB2 structure. Values from VASP.

Calculated values
DOS(E_F)   0.162 states/eV/atom
Space group   No. 127

Cell and atoms, written as Quantum ESPRESSO input:
```
&SYSTEM
  ibrav = 0, nat = 10, ntyp = 3
/
ATOMIC_SPECIES
Sn 118.71 Sn.upf
Tc 98.00 Tc.upf
B 10.81 B.upf
ATOMIC_POSITIONS angstrom
Sn 0.000 0.000 0.000
Tc 2.381 5.713 0.000
Tc 4.282 0.950 0.000
Sn 3.331 3.331 0.000
B 4.190 5.805 1.456
B 5.805 2.473 1.456
Tc 0.950 2.381 0.000
Tc 5.713 4.282 0.000
B 0.858 4.190 1.456
B 2.473 0.858 1.456
CELL_PARAMETERS angstrom
6.663 0.000 0.000
0.000 6.663 0.000
0.000 0.000 2.912
```

*Q*
VASP calculation (GGA-PBE) on a geometry-optimized Tc2SnB2 structure. Values from VASP.

Calculated values
DOS(E_F)   0.704 states/eV/atom
Space group   No. 139

Cell and atoms, written as Quantum ESPRESSO input:
```
&SYSTEM
  ibrav = 0, nat = 5, ntyp = 3
/
ATOMIC_SPECIES
Sn 118.71 Sn.upf
Tc 98.00 Tc.upf
B 10.81 B.upf
ATOMIC_POSITIONS angstrom
Sn 0.000 0.000 0.000
Tc -2.238 -1.549 0.828
B -3.126 -2.931 2.327
B -3.763 -3.085 0.317
Tc -4.651 -4.467 1.817
CELL_PARAMETERS angstrom
-1.361 0.481 2.618
-2.635 0.173 -1.401
-2.892 -6.669 1.428
```

Stability, highest: *Q*